# 1
DFT (PBE) results for an optimized crystal structure of Tb4RuCl5.

Summary:
formation energy without anion corrections = -153.2 kJ per mole of atoms
total magnetic moment = 0.24 μB per cell

Cell lengths 3.901, 8.489, 9.197 Å; angles 103.81, 102.24, 90.00 degrees
Positions (direct):
Ru  0.500  0.000  0.000
Tb  0.997  0.772  0.994
Tb  0.350  0.915  0.699
Tb  0.650  0.085  0.301
Tb  0.003  0.228  0.006
Cl  0.831  0.676  0.661
Cl  0.823  0.139  0.647
Cl  0.177  0.861  0.353
Cl  0.500  0.500  0.000
Cl  0.169  0.324  0.339

# 2
DFT (PBE) results for an optimized crystal structure of TbRuCl6.

Summary:
formation energy without anion corrections = -123.6 kJ per mole of atoms
total magnetic moment = 1.02 μB per cell

Cell lengths 6.358, 6.359, 6.815 Å; angles 62.20, 62.21, 60.00 degrees
Positions (direct):
Ru  0.000  0.000  0.000
Cl  0.613  0.228  0.237
Cl  0.228  0.923  0.236
Cl  0.077  0.387  0.764
Cl  0.387  0.772  0.763
Cl  0.923  0.613  0.236
Cl  0.772  0.077  0.764
Tb  0.500  0.500  0.500

# 3
DFT (PBE) results for an optimized crystal structure of Tb3TeRuCl.

Summary:
formation energy without anion corrections = -95.1 kJ per mole of atoms
total magnetic moment = 0.00 μB per cell

Cell lengths 4.165, 8.563, 9.623 Å; angles 95.23, 90.00, 90.00 degrees
Positions (direct):
Tb  0.250  0.636  0.828
Tb  0.750  0.353  0.611
Tb  0.250  0.647  0.389
Tb  0.250  0.197  0.879
Tb  0.750  0.803  0.121
Tb  0.750  0.364  0.172
Ru  0.250  0.568  0.109
Ru  0.750  0.432  0.891
Cl  0.750  0.850  0.418
Cl  0.250  0.150  0.582
Te  0.750  0.909  0.817
Te  0.250  0.091  0.183

# 4
DFT (PBE) results for an optimized crystal structure of TcRu3Cl.

Summary:
formation energy without anion corrections = 170.7 kJ per mole of atoms
total magnetic moment = 4.07 μB per cell

Cell lengths 4.731, 4.731, 4.731 Å; angles 90.00, 90.00, 90.00 degrees
Positions (direct):
Ru  0.000  0.000  0.500
Ru  0.000  0.500  0.000
Ru  0.500  0.000  0.000
Tc  0.000  0.000  0.000
Cl  0.500  0.500  0.500

# 5
DFT (PBE) results for an optimized crystal structure of TcRuCl4.

Summary:
formation energy without anion corrections = 145.5 kJ per mole of atoms
total magnetic moment = 9.10 μB per cell

Cell lengths 5.752, 5.752, 5.752 Å; angles 60.00, 60.00, 60.00 degrees
Positions (direct):
Ru  0.750  0.750  0.750
Cl  0.375  0.375  0.874
Cl  0.874  0.375  0.375
Cl  0.375  0.375  0.375
Cl  0.375  0.874  0.375
Tc  0.000  0.000  0.000

# 6
DFT (PBE) results for an optimized crystal structure of TcRuCl.

Summary:
formation energy without anion corrections = 30.1 kJ per mole of atoms
total magnetic moment = 0.00 μB per cell

Cell lengths 5.887, 5.887, 5.887 Å; angles 151.50, 151.50, 40.74 degrees
Positions (direct):
Tc  0.324  0.324  0.000
Ru  0.684  0.684  0.000
Cl  0.992  0.992  0.000